# TaCuAu2

A geometry-optimized TaCuAu2 structure (GGA-PBE, Alexandria via LeMat-Bulk).

Space-group type   R3m, No. 160
E_form   0.0801 eV/atom
DFT total energy   -22.18 eV per formula unit
Total moment   0.0 μB per formula unit

Unit cell a=9.3335 b=9.3335 c=9.3335 alpha=17.97 beta=17.97 gamma=17.97
With the nearest neighbours (Å) after each atom.
Element x y z (fractional)
1 Au 0.0014 0.0014 0.0014  3 Ta 2.90, 9 Au 2.92-3.00
2 Au 0.2445 0.2445 0.2445  3 Cu 2.73, 9 Au 2.92-3.00
3 Cu 0.5001 0.5001 0.5001  3 Au 2.73, 3 Ta 2.76, 6 Cu 2.92
4 Ta 0.7540 0.7540 0.7540  3 Cu 2.76, 3 Au 2.90, 6 Ta 2.92